LaPr2Sm PBE-GGA relaxed; SG = No. 160; energy above the most stable polymorph in this dataset = 3.8 meV per atom; ΔE_f = 0.017 eV per atom; crystal system = trigonal
1.0
3.707 0.000 0.001
1.853 3.210 0.001
1.856 1.072 12.097
La Pr Sm
1 2 1
direct
0.500 0.500 0.501
0.082 0.082 0.755
0.252 0.252 0.245
0.667 0.667 0.000

=====

Np3Tl5Te8 PBE-GGA relaxed; SG = No. 166; formation energy without anion corrections = -0.49 eV per atom; crystal system = trigonal
1.0
7.935 0.000 4.545
2.666 7.474 4.545
-0.228 -0.161 9.598
Np Tl Te
3 5 8
direct
0.500 0.000 0.500
0.000 0.000 0.500
0.000 0.500 0.500
0.500 0.000 0.000
0.500 0.500 0.000
0.000 0.000 0.000
0.000 0.500 0.000
0.500 0.500 0.500
0.250 0.250 0.714
0.250 0.785 0.714
0.785 0.250 0.714
0.763 0.763 0.712
0.750 0.750 0.286
0.750 0.215 0.286
0.215 0.750 0.286
0.237 0.237 0.288

=====

Rb2SiPI6 PBE-GGA relaxed; SG = No. 139; formation energy without anion corrections = -0.54 eV per atom; crystal system = tetragonal
1.0
-7.447 1.300 3.084
-0.925 -8.030 1.149
-1.922 -2.873 7.377
I P Si Rb
6 1 1 2
direct
0.248 0.248 0.503
0.752 0.752 0.497
0.250 0.250 0.000
0.750 0.750 0.000
0.750 0.250 0.000
0.250 0.750 0.000
0.000 0.000 0.000
0.500 0.500 0.000
0.750 0.250 0.500
0.250 0.750 0.500

=====

KTlZn PBE-GGA relaxed; SG = No. 42; energy above the most stable polymorph in this dataset = 13.7 meV per atom; ΔE_f = 0.038 eV per atom; crystal system = orthorhombic
1.0
6.868 0.013 -0.014
5.779 3.710 0.012
1.090 0.290 3.686
K Tl Zn
1 1 1
direct
0.004 0.004 0.996
0.295 0.295 0.705
0.701 0.701 0.299